[1]
Compound: KAgPtCl6
Source: the Alexandria database
Functional: PBE
Structure: relaxed

The structure in CIF format:
```
data_KAgPtCl6
_space_group_name_H-M_alt 'P 3 1 2'
_space_group_IT_number 149
_space_group_name_Hall 'P 3 2'
_cell_length_a 6.8513
_cell_length_b 6.8513
_cell_length_c 6.6178
_cell_angle_alpha 90.00
_cell_angle_beta 90.00
_cell_angle_gamma 120.00
loop_
_atom_site_label
_atom_site_fract_x
_atom_site_fract_y
_atom_site_fract_z
K1 0.0000 0.0000 0.0000
Ag1 0.6667 0.3333 0.5000
Pt1 0.3333 0.6667 0.5000
Cl1 0.0464 0.3925 0.2957
```

Computed properties:
Crystal system: trigonal
E in Ry/atom: -0.231
Calculated density in g/cm3: 3.4
Total magnetization in Bohr magnetons per cell: 0.00
Volume in Å³ per atom: 29.892

---

[2]
Compound: KAgPtCl2
Source: the Alexandria database
Functional: PBE
Structure: relaxed

The structure in CIF format:
```
data_KAgPtCl2
_space_group_name_H-M_alt 'P 4/m m m'
_space_group_IT_number 123
_space_group_name_Hall '-P 4 2'
_cell_length_a 4.9222
_cell_length_b 4.9222
_cell_length_c 6.9299
_cell_angle_alpha 90.00
_cell_angle_beta 90.00
_cell_angle_gamma 90.00
loop_
_atom_site_label
_atom_site_fract_x
_atom_site_fract_y
_atom_site_fract_z
K1 0.0000 0.0000 0.0000
Ag1 0.0000 0.0000 0.5000
Pt1 0.5000 0.5000 0.0000
Cl1 0.0000 0.5000 0.5000
```

Computed properties:
Crystal system: tetragonal
E in Ry/atom: -0.184
Calculated density in g/cm3: 4.1
Total magnetization in Bohr magnetons per cell: 1.50
Volume in Å³ per atom: 33.579

---

[3]
Compound: KAg2PtCl
Source: the Alexandria database
Functional: PBE
Structure: relaxed

The structure in CIF format:
```
data_KAg2PtCl
_space_group_name_H-M_alt 'P 4/m m m'
_space_group_IT_number 123
_space_group_name_Hall '-P 4 2'
_cell_length_a 5.5200
_cell_length_b 5.5200
_cell_length_c 5.1251
_cell_angle_alpha 90.00
_cell_angle_beta 90.00
_cell_angle_gamma 90.00
loop_
_atom_site_label
_atom_site_fract_x
_atom_site_fract_y
_atom_site_fract_z
K1 0.0000 0.0000 0.0000
Ag1 0.0000 0.5000 0.0000
Pt1 0.5000 0.5000 0.5000
Cl1 0.0000 0.0000 0.5000
```

Computed properties:
Crystal system: tetragonal
E in Ry/atom: -0.138
Calculated density in g/cm3: 5.2
Total magnetization in Bohr magnetons per cell: 0.00
Volume in Å³ per atom: 31.232

---

Question: The highest E belongs to which entry?
Answer: KAg2PtCl

---

Question: total magnetization of number 3 (KAg2PtCl)?
Answer: 0.00 Bohr magnetons per cell

---

Question: Among the records above, which one has the highest total magnetization?
Answer: KAgPtCl2

---

Question: Which of these has the lowest calculated density?
Answer: KAgPtCl6